# K2SnTeSe4

A relaxed structure of K2SnTeSe4 (PBE, Alexandria).

Structure (CIF):
```
data_K2SnTeSe4
_chemical_formula_sum 'K16 Sn8 Te8 Se32'
_symmetry_space_group_name_H-M 'F d d d'
_symmetry_Int_Tables_number 70
_cell_length_a 8.027
_cell_length_b 15.952
_cell_length_c 17.144
_cell_angle_alpha 90.00
_cell_angle_beta 90.00
_cell_angle_gamma 90.00
loop_
_symmetry_equiv_pos_as_xyz
'x,y,z'
'-x,-y,-z'
'-x+1/4,-y+1/4,z'
'x+1/4,y+1/4,-z'
'x,-y+1/4,-z+1/4'
'-x,y+1/4,z+1/4'
'-x+1/4,y,-z+1/4'
'x+1/4,-y,z+1/4'
'x,y+1/2,z+1/2'
'-x,-y+1/2,-z+1/2'
'-x+1/4,-y+3/4,z+1/2'
'x+1/4,y+3/4,-z+1/2'
'x,-y+3/4,-z+3/4'
'-x,y+3/4,z+3/4'
'-x+1/4,y+1/2,-z+3/4'
'x+1/4,-y+1/2,z+3/4'
'x+1/2,y,z+1/2'
'-x+1/2,-y,-z+1/2'
'-x+3/4,-y+1/4,z+1/2'
'x+3/4,y+1/4,-z+1/2'
'x+1/2,-y+1/4,-z+3/4'
'-x+1/2,y+1/4,z+3/4'
'-x+3/4,y,-z+3/4'
'x+3/4,-y,z+3/4'
'x+1/2,y+1/2,z'
'-x+1/2,-y+1/2,-z'
'-x+3/4,-y+3/4,z'
'x+3/4,y+3/4,-z'
'x+1/2,-y+3/4,-z+1/4'
'-x+1/2,y+3/4,z+1/4'
'-x+3/4,y+1/2,-z+1/4'
'x+3/4,-y+1/2,z+1/4'
loop_
_atom_site_label
_atom_site_type_symbol
_atom_site_fract_x
_atom_site_fract_y
_atom_site_fract_z
K1 K 0.125 0.370 0.125
Sn1 Sn 0.125 0.125 0.625
Te1 Te 0.125 0.125 0.125
Se1 Se 0.110 0.279 0.457
```

Output
For the density of states at the Fermi level, the calculation gives 14.78 states/eV per cell. The value obtained for the formation energy from raw total energies is -0.526 eV/atom.


# KSn2TeSe6

A relaxed structure of KSn2TeSe6 (PBE, Alexandria).

Structure (CIF):
```
data_KSn2TeSe6
_chemical_formula_sum 'K4 Sn8 Te4 Se24'
_symmetry_space_group_name_H-M 'C 1 2/c 1'
_symmetry_Int_Tables_number 15
_cell_length_a 14.752
_cell_length_b 11.633
_cell_length_c 8.580
_cell_angle_alpha 90.00
_cell_angle_beta 119.42
_cell_angle_gamma 90.00
loop_
_symmetry_equiv_pos_as_xyz
'x,y,z'
'-x,-y,-z'
'-x,y,-z+1/2'
'x,-y,z+1/2'
'x+1/2,y+1/2,z'
'-x+1/2,-y+1/2,-z'
'-x+1/2,y+1/2,-z+1/2'
'x+1/2,-y+1/2,z+1/2'
loop_
_atom_site_label
_atom_site_type_symbol
_atom_site_fract_x
_atom_site_fract_y
_atom_site_fract_z
K1 K 0.000 0.227 0.250
Sn1 Sn 0.207 0.085 0.029
Te1 Te 0.000 0.300 0.750
Se1 Se 0.090 0.028 0.664
Se2 Se 0.106 0.444 0.668
Se3 Se 0.163 0.295 0.105
```

Output
For the density of states at the Fermi level, the calculation gives 8.59 states/eV per cell. The value obtained for the formation energy from raw total energies is -0.342 eV/atom.


# KSnTe2Se6

A relaxed structure of KSnTe2Se6 (PBE, Alexandria).

Structure (CIF):
```
data_KSnTe2Se6
_chemical_formula_sum 'K4 Sn4 Te8 Se24'
_symmetry_space_group_name_H-M 'C 1 2/c 1'
_symmetry_Int_Tables_number 15
_cell_length_a 12.315
_cell_length_b 17.682
_cell_length_c 8.127
_cell_angle_alpha 90.00
_cell_angle_beta 120.77
_cell_angle_gamma 90.00
loop_
_symmetry_equiv_pos_as_xyz
'x,y,z'
'-x,-y,-z'
'-x,y,-z+1/2'
'x,-y,z+1/2'
'x+1/2,y+1/2,z'
'-x+1/2,-y+1/2,-z'
'-x+1/2,y+1/2,-z+1/2'
'x+1/2,-y+1/2,z+1/2'
loop_
_atom_site_label
_atom_site_type_symbol
_atom_site_fract_x
_atom_site_fract_y
_atom_site_fract_z
K1 K 0.000 0.109 0.250
Sn1 Sn 0.000 0.188 0.750
Te1 Te 0.124 0.404 0.154
Se1 Se 0.119 0.249 0.082
Se2 Se 0.130 0.074 0.726
Se3 Se 0.156 0.414 0.482
```

Output
For the density of states at the Fermi level, the calculation gives 14.02 states/eV per cell. The value obtained for the formation energy from raw total energies is -0.203 eV/atom.


# K3Th3SnSe8

A relaxed structure of K3Th3SnSe8 (PBE, Alexandria).

Structure (CIF):
```
data_K3Th3SnSe8
_chemical_formula_sum 'K6 Th6 Sn2 Se16'
_symmetry_space_group_name_H-M 'C 1 2/m 1'
_symmetry_Int_Tables_number 12
_cell_length_a 14.995
_cell_length_b 8.659
_cell_length_c 9.179
_cell_angle_alpha 90.00
_cell_angle_beta 123.04
_cell_angle_gamma 90.00
loop_
_symmetry_equiv_pos_as_xyz
'x,y,z'
'-x,-y,-z'
'-x,y,-z'
'x,-y,z'
'x+1/2,y+1/2,z'
'-x+1/2,-y+1/2,-z'
'-x+1/2,y+1/2,-z'
'x+1/2,-y+1/2,z'
loop_
_atom_site_label
_atom_site_type_symbol
_atom_site_fract_x
_atom_site_fract_y
_atom_site_fract_z
K1 K 0.000 0.000 0.000
K2 K 0.250 0.250 0.000
Th1 Th 0.000 0.500 0.500
Th2 Th 0.250 0.250 0.500
Sn1 Sn 0.000 0.000 0.500
Se1 Se 0.017 0.258 0.293
Se2 Se 0.238 0.500 0.713
Se3 Se 0.241 0.000 0.707
```

Output
For the density of states at the Fermi level, the calculation gives 14.10 states/eV per cell. The value obtained for the formation energy from raw total energies is -1.446 eV/atom.


# K2TlSnSe4

A relaxed structure of K2TlSnSe4 (PBE, Alexandria).

Structure (CIF):
```
data_K2TlSnSe4
_chemical_formula_sum 'K8 Tl4 Sn4 Se16'
_symmetry_space_group_name_H-M 'I m m a'
_symmetry_Int_Tables_number 74
_symmetry_space_group_name_Hall '-I 2b 2'
_cell_length_a 8.460
_cell_length_b 9.140
_cell_length_c 12.526
_cell_angle_alpha 90.00
_cell_angle_beta 90.00
_cell_angle_gamma 90.00
loop_
_atom_site_label
_atom_site_type_symbol
_atom_site_fract_x
_atom_site_fract_y
_atom_site_fract_z
K1 K 0.000 0.000 0.000
K2 K 0.250 0.250 0.250
Tl1 Tl 0.000 0.000 0.500
Sn1 Sn 0.250 0.250 0.750
Se1 Se 0.000 0.040 0.746
Se2 Se 0.237 0.250 0.533
```

Output
For the density of states at the Fermi level, the calculation gives 16.25 states/eV per cell. The value obtained for the formation energy from raw total energies is -0.616 eV/atom.


# KTl2SnSe4

A relaxed structure of KTl2SnSe4 (PBE, Alexandria).

Structure (CIF):
```
data_KTl2SnSe4
_chemical_formula_sum 'K4 Tl8 Sn4 Se16'
_symmetry_space_group_name_H-M 'I m m a'
_symmetry_Int_Tables_number 74
_symmetry_space_group_name_Hall '-I 2b 2'
_cell_length_a 8.539
_cell_length_b 8.773
_cell_length_c 12.352
_cell_angle_alpha 90.00
_cell_angle_beta 90.00
_cell_angle_gamma 90.00
loop_
_atom_site_label
_atom_site_type_symbol
_atom_site_fract_x
_atom_site_fract_y
_atom_site_fract_z
K1 K 0.250 0.250 0.250
Tl1 Tl 0.000 0.000 0.000
Tl2 Tl 0.250 0.250 0.750
Sn1 Sn 0.000 0.000 0.500
Se1 Se 0.000 0.027 0.738
Se2 Se 0.229 0.250 0.510
```

Output
For the density of states at the Fermi level, the calculation gives 15.10 states/eV per cell. The value obtained for the formation energy from raw total energies is -0.461 eV/atom.


# K2TlSn2Se4

A relaxed structure of K2TlSn2Se4 (PBE, Alexandria).

Structure (CIF):
```
data_K2TlSn2Se4
_chemical_formula_sum 'K4 Tl2 Sn4 Se8'
_symmetry_space_group_name_H-M 'C 1 2/m 1'
_symmetry_Int_Tables_number 12
_cell_length_a 17.029
_cell_length_b 5.452
_cell_length_c 7.073
_cell_angle_alpha 90.00
_cell_angle_beta 99.42
_cell_angle_gamma 90.00
loop_
_symmetry_equiv_pos_as_xyz
'x,y,z'
'-x,-y,-z'
'-x,y,-z'
'x,-y,z'
'x+1/2,y+1/2,z'
'-x+1/2,-y+1/2,-z'
'-x+1/2,y+1/2,-z'
'x+1/2,-y+1/2,z'
loop_
_atom_site_label
_atom_site_type_symbol
_atom_site_fract_x
_atom_site_fract_y
_atom_site_fract_z
K1 K 0.140 0.000 0.090
Tl1 Tl 0.000 0.000 0.500
Sn1 Sn 0.170 0.500 0.533
Se1 Se 0.056 0.500 0.243
Se2 Se 0.196 0.000 0.653
```

Output
For the density of states at the Fermi level, the calculation gives 3.31 states/eV per cell. The value obtained for the formation energy from raw total energies is -0.638 eV/atom.


# K3Tm2SnSe6

A relaxed structure of K3Tm2SnSe6 (PBE, Alexandria).

Structure (CIF):
```
data_K3Tm2SnSe6
_chemical_formula_sum 'K6 Tm4 Sn2 Se12'
_symmetry_space_group_name_H-M 'C 1 2/m 1'
_symmetry_Int_Tables_number 12
_cell_length_a 7.261
_cell_length_b 12.575
_cell_length_c 8.037
_cell_angle_alpha 90.00
_cell_angle_beta 107.51
_cell_angle_gamma 90.00
loop_
_symmetry_equiv_pos_as_xyz
'x,y,z'
'-x,-y,-z'
'-x,y,-z'
'x,-y,z'
'x+1/2,y+1/2,z'
'-x+1/2,-y+1/2,-z'
'-x+1/2,y+1/2,-z'
'x+1/2,-y+1/2,z'
loop_
_atom_site_label
_atom_site_type_symbol
_atom_site_fract_x
_atom_site_fract_y
_atom_site_fract_z
K1 K 0.000 0.000 0.000
K2 K 0.000 0.335 0.000
Tm1 Tm 0.000 0.167 0.500
Sn1 Sn 0.000 0.500 0.500
Se1 Se 0.229 0.000 0.702
Se2 Se 0.237 0.331 0.703
```

Output
For the density of states at the Fermi level, the calculation gives 8.82 states/eV per cell. The value obtained for the formation energy from raw total energies is -1.399 eV/atom.


# KTm2Sn3Se6

A relaxed structure of KTm2Sn3Se6 (PBE, Alexandria).

Structure (CIF):
```
data_KTm2Sn3Se6
_chemical_formula_sum 'K2 Tm4 Sn6 Se12'
_symmetry_space_group_name_H-M 'C 1 2/m 1'
_symmetry_Int_Tables_number 12
_cell_length_a 18.476
_cell_length_b 4.062
_cell_length_c 9.291
_cell_angle_alpha 90.00
_cell_angle_beta 100.27
_cell_angle_gamma 90.00
loop_
_symmetry_equiv_pos_as_xyz
'x,y,z'
'-x,-y,-z'
'-x,y,-z'
'x,-y,z'
'x+1/2,y+1/2,z'
'-x+1/2,-y+1/2,-z'
'-x+1/2,y+1/2,-z'
'x+1/2,-y+1/2,z'
loop_
_atom_site_label
_atom_site_type_symbol
_atom_site_fract_x
_atom_site_fract_y
_atom_site_fract_z
K1 K 0.000 0.000 0.000
Tm1 Tm 0.170 0.500 0.340
Sn1 Sn 0.000 0.000 0.500
Sn2 Sn 0.162 0.500 0.828
Se1 Se 0.020 0.500 0.277
Se2 Se 0.169 0.000 0.559
Se3 Se 0.186 0.000 0.132
```

Output
For the density of states at the Fermi level, the calculation gives 6.77 states/eV per cell. The value obtained for the formation energy from raw total energies is -1.013 eV/atom.